Density functional theory data (PBE with a Hubbard U) for a relaxed VCdPHO6 crystal.

Properties
Density: 3.49 g/cm3
E: -6.452 eV/atom
Total magnetic moment: 1.00 μB/f.u.

Unit cell a=5.3367 b=6.7306 c=7.9471 alpha=90.00 beta=103.77 gamma=90.00
With the nearest neighbours (Å) after each atom.
Element x y z (fractional)
V 0.0896 0.0000 0.0299  4 O 1.79-1.98
V 0.9104 0.5000 0.9701  4 O 1.79-1.98
Cd 0.4664 0.9889 0.4670  5 O 2.26-2.28
Cd 0.5336 0.4889 0.5330  5 O 2.26-2.28
P 0.0710 0.2371 0.6774  4 O 1.55-1.56
P 0.9290 0.7371 0.3226  4 O 1.55-1.56
H 0.4326 0.5599 0.8493  1 O 0.99
H 0.5674 0.0599 0.1507  1 O 0.99
O 0.0915 0.4394 0.7764  1 P 1.56
O 0.0976 0.7388 0.9924  2 V 1.79-1.88
O 0.1704 0.0645 0.8060  1 P 1.55
O 0.2162 0.7102 0.4206  1 P 1.56
O 0.2441 0.2436 0.5457  1 P 1.55
O 0.4002 0.0729 0.1827  1 H 0.99
O 0.5998 0.5729 0.8173  1 H 0.99
O 0.7559 0.7436 0.4543  1 P 1.55
O 0.7838 0.2102 0.5794  1 P 1.56
O 0.8296 0.5645 0.1940  1 P 1.55
O 0.9024 0.2388 0.0076  2 V 1.79-1.88
O 0.9085 0.9394 0.2236  1 P 1.56